Record 1
VASP calculation (PBE) on crystalline ZrCr2P at its relaxed geometry.

a = 7.121 Å, b = 7.121 Å, c = 7.121 Å
α = 26.29°, β = 26.29°, γ = 26.29°
Fractional coordinates of all 4 atoms:
Zr  0.000  0.000  0.000
Cr  0.227  0.227  0.227
Cr  0.773  0.773  0.773
P  0.500  0.500  0.500

energy relative to the elements = 0.25 eV per formula unit
volume = 62.42 Å³/cell
SG = R-3m, No. 166

***

Record 2
VASP calculation (PBE) on crystalline PaCr6 at its relaxed geometry.

a = 5.340 Å, b = 5.340 Å, c = 5.340 Å
α = 109.47°, β = 109.47°, γ = 109.47°
Fractional coordinates of all 7 atoms:
Pa  0.000  0.000  0.000
Cr  0.250  0.500  0.750
Cr  0.250  0.750  0.500
Cr  0.500  0.250  0.750
Cr  0.500  0.750  0.250
Cr  0.750  0.250  0.500
Cr  0.750  0.500  0.250

energy relative to the elements = 8.67 eV per formula unit
volume = 117.20 Å³/cell
SG = Im-3m, No. 229

***

Record 3
VASP calculation (PBE) on crystalline PaCr5 at its relaxed geometry.

a = 6.914 Å, b = 6.914 Å, c = 3.016 Å
α = 90.00°, β = 90.00°, γ = 143.80°
Fractional coordinates of all 6 atoms:
Pa  0.000  0.000  0.000
Cr  0.177  0.823  0.500
Cr  0.322  0.678  0.000
Cr  0.500  0.500  0.500
Cr  0.678  0.322  0.000
Cr  0.823  0.177  0.500

energy relative to the elements = 1.66 eV per formula unit
volume = 85.16 Å³/cell
SG = Cmmm, No. 65

***

Record 4
VASP calculation (PBE) on crystalline PaCr4 at its relaxed geometry.

a = 4.542 Å, b = 4.542 Å, c = 4.542 Å
α = 90.00°, β = 90.00°, γ = 90.00°
Fractional coordinates of all 5 atoms:
Pa  0.000  0.000  0.000
Cr  0.000  0.000  0.500
Cr  0.000  0.500  0.000
Cr  0.500  0.000  0.000
Cr  0.500  0.500  0.500

energy relative to the elements = 8.00 eV per formula unit
volume = 93.70 Å³/cell
SG = Pm-3m, No. 221

***

Record 5
VASP calculation (PBE) on crystalline Pa2CrPb at its relaxed geometry.

a = 8.475 Å, b = 8.475 Å, c = 8.475 Å
α = 25.82°, β = 25.82°, γ = 25.82°
Fractional coordinates of all 4 atoms:
Pa  0.226  0.226  0.226
Pa  0.774  0.774  0.774
Cr  0.500  0.500  0.500
Pb  0.000  0.000  0.000

energy relative to the elements = 1.43 eV per formula unit
volume = 101.70 Å³/cell
SG = R-3m, No. 166
energy relative to the lowest polymorph listed for this composition = 256.7 meV per atom

***

Record 6
VASP calculation (PBE) on crystalline Pa2CrPb at its relaxed geometry.

a = 3.195 Å, b = 3.195 Å, c = 8.914 Å
α = 90.00°, β = 90.00°, γ = 90.00°
Fractional coordinates of all 4 atoms:
Pa  0.000  0.000  0.199
Pa  0.000  0.000  0.801
Cr  0.500  0.500  0.000
Pb  0.500  0.500  0.500

energy relative to the elements = 0.40 eV per formula unit
volume = 90.98 Å³/cell
SG = P4/mmm, No. 123
energy relative to the lowest polymorph listed for this composition = 0.0 meV per atom

***

Record 7
VASP calculation (PBE) on crystalline PaCrPb at its relaxed geometry.

a = 12.091 Å, b = 12.091 Å, c = 12.091 Å
α = 163.37°, β = 163.37°, γ = 23.61°
Fractional coordinates of all 6 atoms:
Pa  0.169  0.169  0.000
Pa  0.831  0.831  0.000
Cr  0.264  0.264  0.000
Cr  0.736  0.736  0.000
Pb  0.434  0.434  0.000
Pb  0.566  0.566  0.000

energy relative to the elements = 0.72 eV per formula unit
volume = 144.82 Å³/cell
SG = I4/mmm, No. 139

***

Record 8
VASP calculation (PBE) on crystalline PaCrPd at its relaxed geometry.

a = 6.238 Å, b = 6.238 Å, c = 6.238 Å
α = 151.66°, β = 151.66°, γ = 40.51°
Fractional coordinates of all 3 atoms:
Pa  0.000  0.000  0.000
Cr  0.330  0.330  0.000
Pd  0.692  0.692  0.000

energy relative to the elements = 0.20 eV per formula unit
volume = 54.59 Å³/cell
SG = I4mm, No. 107

***

Record 9
VASP calculation (PBE) on crystalline Pa2CrPd9 at its relaxed geometry.

a = 4.113 Å, b = 4.113 Å, c = 12.082 Å
α = 90.00°, β = 90.00°, γ = 90.00°
Fractional coordinates of all 12 atoms:
Pa  0.000  0.000  0.179
Pa  0.000  0.000  0.821
Cr  0.000  0.000  0.500
Pd  0.000  0.500  0.000
Pd  0.000  0.500  0.338
Pd  0.000  0.500  0.662
Pd  0.500  0.000  0.000
Pd  0.500  0.000  0.338
Pd  0.500  0.000  0.662
Pd  0.500  0.500  0.168
Pd  0.500  0.500  0.500
Pd  0.500  0.500  0.832

energy relative to the elements = -6.85 eV per formula unit
volume = 204.37 Å³/cell
SG = P4/mmm, No. 123

***

Record 10
VASP calculation (PBE) on crystalline PuPaCrPd at its relaxed geometry.

a = 4.703 Å, b = 4.703 Å, c = 4.703 Å
α = 60.00°, β = 60.00°, γ = 60.00°
Fractional coordinates of all 4 atoms:
Pu  0.000  0.000  0.000
Pa  0.750  0.750  0.750
Cr  0.500  0.500  0.500
Pd  0.250  0.250  0.250

energy relative to the elements = 0.01 eV per formula unit
volume = 73.54 Å³/cell
SG = F-43m, No. 216

***

Record 11
VASP calculation (PBE) on crystalline Pa2CrPdS5 at its relaxed geometry.

a = 7.947 Å, b = 7.947 Å, c = 11.731 Å
α = 90.00°, β = 90.00°, γ = 152.65°
Fractional coordinates of all 18 atoms:
Pa  0.108  0.892  0.500
Pa  0.128  0.872  0.842
Pa  0.872  0.128  0.342
Pa  0.892  0.108  0.000
Cr  0.166  0.834  0.203
Cr  0.834  0.166  0.703
Pd  0.428  0.572  0.578
Pd  0.572  0.428  0.078
S  0.007  0.993  0.179
S  0.294  0.706  0.484
S  0.312  0.688  0.829
S  0.328  0.672  0.166
S  0.499  0.501  0.399
S  0.501  0.499  0.899
S  0.672  0.328  0.666
S  0.688  0.312  0.329
S  0.706  0.294  0.984
S  0.993  0.007  0.679

volume = 340.38 Å³/cell
E_form (uncorrected) = -1.137 eV/atom
SG = Cmc2_1, No. 36

***

Record 12
VASP calculation (PBE) on crystalline PmPaCrS6 at its relaxed geometry.

a = 6.486 Å, b = 6.486 Å, c = 5.824 Å
α = 90.00°, β = 90.00°, γ = 120.00°
Fractional coordinates of all 9 atoms:
Pm  0.000  0.000  0.000
Pa  0.667  0.333  0.500
Cr  0.333  0.667  0.000
S  0.026  0.381  0.244
S  0.026  0.645  0.756
S  0.355  0.381  0.756
S  0.355  0.974  0.244
S  0.619  0.645  0.244
S  0.619  0.974  0.756

volume = 212.19 Å³/cell
E_form (uncorrected) = -1.156 eV/atom
SG = P312, No. 149

***

Record 13
VASP calculation (PBE) on crystalline PmPa2CrS8 at its relaxed geometry.

a = 5.951 Å, b = 8.154 Å, c = 6.159 Å
α = 90.00°, β = 91.63°, γ = 90.00°
Fractional coordinates of all 12 atoms:
Pm  0.000  0.000  0.000
Pa  0.500  0.258  0.500
Pa  0.500  0.742  0.500
Cr  0.000  0.500  0.000
S  0.221  0.282  0.166
S  0.221  0.718  0.166
S  0.263  0.500  0.680
S  0.279  0.000  0.647
S  0.721  0.000  0.353
S  0.737  0.500  0.320
S  0.779  0.282  0.834
S  0.779  0.718  0.834

volume = 298.74 Å³/cell
E_form (uncorrected) = -1.334 eV/atom
SG = P2/m, No. 10

***

Record 14
VASP calculation (PBE) on crystalline PmPaCrSe6 at its relaxed geometry.

a = 6.828 Å, b = 6.828 Å, c = 6.102 Å
α = 90.00°, β = 90.00°, γ = 120.00°
Fractional coordinates of all 9 atoms:
Pm  0.000  0.000  0.000
Pa  0.333  0.667  0.500
Cr  0.667  0.333  0.000
Se  0.376  0.025  0.753
Se  0.376  0.351  0.247
Se  0.649  0.025  0.247
Se  0.649  0.624  0.753
Se  0.975  0.351  0.753
Se  0.975  0.624  0.247

volume = 246.39 Å³/cell
E_form (uncorrected) = -0.982 eV/atom
SG = P312, No. 149

***

Record 15
VASP calculation (PBE) on crystalline PrPaCrS6 at its relaxed geometry.

a = 6.523 Å, b = 6.523 Å, c = 5.835 Å
α = 90.00°, β = 90.00°, γ = 120.00°
Fractional coordinates of all 9 atoms:
Pr  0.000  0.000  0.000
Pa  0.667  0.333  0.500
Cr  0.333  0.667  0.000
S  0.025  0.385  0.244
S  0.025  0.640  0.756
S  0.360  0.385  0.756
S  0.360  0.975  0.244
S  0.615  0.640  0.244
S  0.615  0.975  0.756

volume = 215.03 Å³/cell
E_form (uncorrected) = -1.142 eV/atom
SG = P312, No. 149

***

Record 16
VASP calculation (PBE) on crystalline PrPa2CrS8 at its relaxed geometry.

a = 5.967 Å, b = 8.189 Å, c = 6.174 Å
α = 90.00°, β = 91.78°, γ = 90.00°
Fractional coordinates of all 12 atoms:
Pr  0.000  0.000  0.000
Pa  0.500  0.259  0.500
Pa  0.500  0.741  0.500
Cr  0.000  0.500  0.000
S  0.224  0.285  0.165
S  0.224  0.715  0.165
S  0.262  0.500  0.678
S  0.278  0.000  0.641
S  0.722  0.000  0.359
S  0.738  0.500  0.322
S  0.776  0.285  0.835
S  0.776  0.715  0.835

volume = 301.48 Å³/cell
E_form (uncorrected) = -1.328 eV/atom
SG = P2/m, No. 10

***

Record 17
VASP calculation (PBE) on crystalline Pa2CrPt9 at its relaxed geometry.

a = 4.125 Å, b = 4.125 Å, c = 12.174 Å
α = 90.00°, β = 90.00°, γ = 90.00°
Fractional coordinates of all 12 atoms:
Pa  0.000  0.000  0.178
Pa  0.000  0.000  0.822
Cr  0.000  0.000  0.500
Pt  0.000  0.500  0.000
Pt  0.000  0.500  0.340
Pt  0.000  0.500  0.660
Pt  0.500  0.000  0.000
Pt  0.500  0.000  0.340
Pt  0.500  0.000  0.660
Pt  0.500  0.500  0.169
Pt  0.500  0.500  0.500
Pt  0.500  0.500  0.831

energy relative to the elements = -9.14 eV per formula unit
volume = 207.20 Å³/cell
SG = P4/mmm, No. 123

***

Record 18
VASP calculation (PBE) on crystalline PaCrPt4 at its relaxed geometry.

a = 5.341 Å, b = 5.341 Å, c = 5.341 Å
α = 60.00°, β = 60.00°, γ = 60.00°
Fractional coordinates of all 6 atoms:
Pa  0.000  0.000  0.000
Cr  0.750  0.750  0.750
Pt  0.376  0.376  0.376
Pt  0.376  0.376  0.873
Pt  0.376  0.873  0.376
Pt  0.873  0.376  0.376

energy relative to the elements = -3.73 eV per formula unit
volume = 107.73 Å³/cell
SG = F-43m, No. 216

***

Record 19
VASP calculation (PBE) on crystalline Pa2CrPt at its relaxed geometry.

a = 10.037 Å, b = 10.037 Å, c = 10.037 Å
α = 17.46°, β = 17.46°, γ = 17.46°
Fractional coordinates of all 4 atoms:
Pa  0.093  0.093  0.093
Pa  0.907  0.907  0.907
Cr  0.500  0.500  0.500
Pt  0.000  0.000  0.000

energy relative to the elements = 1.00 eV per formula unit
volume = 79.40 Å³/cell
SG = R-3m, No. 166

***

Record 20
VASP calculation (PBE) on crystalline PuPaCrPt at its relaxed geometry.

a = 4.703 Å, b = 4.703 Å, c = 4.703 Å
α = 60.00°, β = 60.00°, γ = 60.00°
Fractional coordinates of all 4 atoms:
Pu  0.000  0.000  0.000
Pa  0.250  0.250  0.250
Cr  0.500  0.500  0.500
Pt  0.750  0.750  0.750

energy relative to the elements = -0.79 eV per formula unit
volume = 73.56 Å³/cell
SG = F-43m, No. 216